Below is a relaxed structure of RbGaSb3, with properties calculated at the PBEsol level.

DFT total energy in eV for the cell shown: -11.01
V in A^3/atom: 40.5
Energy relative to the elements, uncorrected in eV per formula unit: 7.022

Cell: 5.872 5.872 5.872 Å, 90.00 90.00 90.00°
Fractional coordinates of all 5 atoms:
Rb (0.000, 0.000, 0.000)
Ga (0.500, 0.500, 0.500)
Sb (0.000, 0.000, 0.500)
Sb (0.000, 0.500, 0.000)
Sb (0.500, 0.000, 0.000)